An optimized crystal structure of KHgBr2F. Source: Alexandria, functional GGA-PBE.

```
data_KHgBr2F
_chemical_formula_sum 'K1 Hg1 Br2 F1'
_symmetry_space_group_name_H-M 'P 4/m m m'
_symmetry_Int_Tables_number 123
_symmetry_space_group_name_Hall '-P 4 2'
_cell_length_a 5.6478
_cell_length_b 5.6478
_cell_length_c 4.5787
_cell_angle_alpha 90.00
_cell_angle_beta 90.00
_cell_angle_gamma 90.00
loop_
_atom_site_label
_atom_site_type_symbol
_atom_site_fract_x
_atom_site_fract_y
_atom_site_fract_z
_atom_site_occupancy
K1 K 0.0000 0.0000 0.0000 1
Hg1 Hg 0.5000 0.5000 0.5000 1
Br1 Br 0.0000 0.5000 0.5000 1
F1 F 0.5000 0.5000 0.0000 1
```

Values from the calculation:
calculated volume: 29.21 A^3/atom
ΔE_f (raw): -1.2384 eV per atom
magnetic moment: 0.0 μB/cell